Entry 1:
DFT (PBE) results for an optimized crystal structure of AcTbTe2Se.

Summary:
- formation energy (no corrections) (eV/f.u.) = -7.4
- space group = P4/nmm, No. 129
- raw total energy (eV per cell) = -51.90

a b c (Å): 4.513 4.513 15.977
angles (deg): 90.00 90.00 90.00
Fractional coordinates of all 10 atoms:
1 Ac 0.250 0.250 0.134
2 Ac 0.750 0.750 0.866
3 Tb 0.250 0.250 0.592
4 Tb 0.750 0.750 0.408
5 Te 0.250 0.250 0.397
6 Te 0.250 0.250 0.783
7 Te 0.750 0.750 0.217
8 Te 0.750 0.750 0.603
9 Se 0.250 0.750 0.000
10 Se 0.750 0.250 0.000

Entry 2:
DFT (PBE) results for an optimized crystal structure of K5Ce3F12.

Summary:
- formation energy (no corrections) (eV/f.u.) = -60.9
- space group = Ia-3d, No. 230
- raw total energy (eV per cell) = -426.42

a b c (Å): 12.759 12.759 12.759
angles (deg): 109.47 109.47 109.47
Fractional coordinates of all 80 atoms:
1 K 0.000 0.000 0.000
2 K 0.000 0.000 0.500
3 K 0.000 0.500 0.000
4 K 0.000 0.500 0.500
5 K 0.125 0.750 0.875
6 K 0.125 0.875 0.250
7 K 0.250 0.125 0.875
8 K 0.250 0.625 0.375
9 K 0.375 0.250 0.625
10 K 0.375 0.625 0.750
11 K 0.500 0.000 0.000
12 K 0.500 0.000 0.500
13 K 0.500 0.500 0.000
14 K 0.500 0.500 0.500
15 K 0.625 0.375 0.250
16 K 0.625 0.750 0.375
17 K 0.750 0.375 0.625
18 K 0.750 0.875 0.125
19 K 0.875 0.125 0.750
20 K 0.875 0.250 0.125
21 Ce 0.125 0.250 0.375
22 Ce 0.125 0.375 0.750
23 Ce 0.250 0.375 0.125
24 Ce 0.250 0.875 0.625
25 Ce 0.375 0.125 0.250
26 Ce 0.375 0.750 0.125
27 Ce 0.625 0.250 0.875
28 Ce 0.625 0.875 0.750
29 Ce 0.750 0.125 0.375
30 Ce 0.750 0.625 0.875
31 Ce 0.875 0.625 0.250
32 Ce 0.875 0.750 0.625
33 F 0.065 0.636 0.395
34 F 0.065 0.928 0.670
35 F 0.072 0.241 0.136
36 F 0.072 0.330 0.935
37 F 0.105 0.741 0.670
38 F 0.105 0.864 0.435
39 F 0.136 0.072 0.241
40 F 0.136 0.565 0.895
41 F 0.170 0.241 0.605
42 F 0.170 0.428 0.565
43 F 0.241 0.136 0.072
44 F 0.241 0.605 0.170
45 F 0.259 0.330 0.895
46 F 0.259 0.428 0.364
47 F 0.330 0.895 0.259
48 F 0.330 0.935 0.072
49 F 0.364 0.259 0.428
50 F 0.364 0.605 0.935
51 F 0.395 0.065 0.636
52 F 0.395 0.830 0.759
53 F 0.428 0.364 0.259
54 F 0.428 0.565 0.170
55 F 0.435 0.105 0.864
56 F 0.435 0.830 0.572
57 F 0.565 0.170 0.428
58 F 0.565 0.895 0.136
59 F 0.572 0.435 0.830
60 F 0.572 0.636 0.741
61 F 0.605 0.170 0.241
62 F 0.605 0.935 0.364
63 F 0.636 0.395 0.065
64 F 0.636 0.741 0.572
65 F 0.670 0.065 0.928
66 F 0.670 0.105 0.741
67 F 0.741 0.572 0.636
68 F 0.741 0.670 0.105
69 F 0.759 0.395 0.830
70 F 0.759 0.864 0.928
71 F 0.830 0.572 0.435
72 F 0.830 0.759 0.395
73 F 0.864 0.435 0.105
74 F 0.864 0.928 0.759
75 F 0.895 0.136 0.565
76 F 0.895 0.259 0.330
77 F 0.928 0.670 0.065
78 F 0.928 0.759 0.864
79 F 0.935 0.072 0.330
80 F 0.935 0.364 0.605

Entry 3:
DFT (PBE) results for an optimized crystal structure of Ac3SiH.

Summary:
- space group = P2_1/c, No. 14
- raw total energy (eV per cell) = -90.04
- energy relative to the lowest polymorph listed for this composition (kJ/mol of formula units) = 0

a b c (Å): 8.364 6.465 11.617
angles (deg): 90.00 107.04 90.00
Fractional coordinates of all 20 atoms:
1 Ac 0.002 0.016 0.174
2 Ac 0.002 0.484 0.674
3 Ac 0.225 0.035 0.551
4 Ac 0.225 0.465 0.051
5 Ac 0.470 0.167 0.866
6 Ac 0.470 0.333 0.366
7 Ac 0.530 0.667 0.634
8 Ac 0.530 0.833 0.134
9 Ac 0.775 0.535 0.949
10 Ac 0.775 0.965 0.449
11 Ac 0.998 0.516 0.326
12 Ac 0.998 0.984 0.826
13 Si 0.360 0.689 0.847
14 Si 0.360 0.811 0.347
15 Si 0.640 0.189 0.653
16 Si 0.640 0.311 0.153
17 H 0.007 0.639 0.126
18 H 0.007 0.861 0.626
19 H 0.993 0.139 0.374
20 H 0.993 0.361 0.874

Entry 4:
DFT (PBE) results for an optimized crystal structure of Ac6Ir2Pb3.

Summary:
- ΔH_f (0 K) (eV per atom) = -0.43
- space group = I4/mmm, No. 139
- raw total energy (eV per cell) = -58.19

a b c (Å): 14.545 14.545 14.545
angles (deg): 157.96 157.96 31.37
Fractional coordinates of all 11 atoms:
1 Ac 0.081 0.581 0.500
2 Ac 0.206 0.206 0.000
3 Ac 0.419 0.919 0.500
4 Ac 0.581 0.081 0.500
5 Ac 0.794 0.794 0.000
6 Ac 0.919 0.419 0.500
7 Ir 0.106 0.106 0.000
8 Ir 0.894 0.894 0.000
9 Pb 0.328 0.328 0.000
10 Pb 0.500 0.500 0.000
11 Pb 0.672 0.672 0.000

Entry 5:
DFT (PBE) results for an optimized crystal structure of HoMgScCu.

Summary:
- ΔH_f (0 K) (eV per atom) = -0.05
- space group = F-43m, No. 216
- raw total energy (eV per cell) = -16.81
- energy relative to the lowest polymorph listed for this composition (kJ/mol of formula units) = 37

a b c (Å): 4.973 4.973 4.973
angles (deg): 60.00 60.00 60.00
Fractional coordinates of all 4 atoms:
1 Ho 0.000 0.000 0.000
2 Mg 0.750 0.750 0.750
3 Sc 0.500 0.500 0.500
4 Cu 0.250 0.250 0.250

Entry 6:
DFT (PBE) results for an optimized crystal structure of PaIn3Pt12.

Summary:
- ΔH_f (0 K) (eV per atom) = -0.58
- space group = P4/mmm, No. 123
- raw total energy (eV per cell) = -99.45

a b c (Å): 4.098 4.098 16.203
angles (deg): 90.00 90.00 90.00
Fractional coordinates of all 16 atoms:
1 Pa 0.000 0.000 0.000
2 In 0.000 0.000 0.257
3 In 0.000 0.000 0.500
4 In 0.000 0.000 0.743
5 Pt 0.000 0.500 0.126
6 Pt 0.000 0.500 0.378
7 Pt 0.000 0.500 0.622
8 Pt 0.000 0.500 0.874
9 Pt 0.500 0.000 0.126
10 Pt 0.500 0.000 0.378
11 Pt 0.500 0.000 0.622
12 Pt 0.500 0.000 0.874
13 Pt 0.500 0.500 0.000
14 Pt 0.500 0.500 0.253
15 Pt 0.500 0.500 0.500
16 Pt 0.500 0.500 0.747